VASP calculation (GGA+U) on CoTeI2O after structural relaxation.

Geometry as CIF:
```
data_CoTeI2O
_space_group_name_H-M_alt 'P 4/m m m'
_space_group_IT_number 123
_space_group_name_Hall '-P 4 2'
_cell_length_a 5.396
_cell_length_b 5.396
_cell_length_c 5.000
_cell_angle_alpha 90.00
_cell_angle_beta 90.00
_cell_angle_gamma 90.00
loop_
_atom_site_label
_atom_site_fract_x
_atom_site_fract_y
_atom_site_fract_z
Co1 0.000 0.000 0.000
Te1 0.000 0.000 0.500
I1 0.000 0.500 0.000
O1 0.500 0.500 0.500
```

Computed properties:
The energy comes out at -2.449 eV/atom. Its crystal system is tetragonal. The density of states at the Fermi level comes out at 7.12 states/eV/f.u.